Entry 1:
DFT (PBE) results for SrLaZrSn2 after structural relaxation.

POSCAR file:
```
SrLaZrSn2
1.0
5.958 0.000 0.000
0.000 5.551 0.000
0.000 0.000 5.958
Sr Sn Zr La
1 2 1 1
direct
0.000 0.000 0.000
0.000 0.000 0.500
0.500 0.000 0.000
0.000 0.500 0.000
0.500 0.500 0.500
```

Computed properties:
E_form	4.28	eV per formula unit
SG	P4/mmm

---

Entry 2:
DFT (PBE) results for CuNi7Rh2 after structural relaxation.

POSCAR file:
```
CuNi7Rh2
1.0
4.243 0.024 1.256
-0.891 6.310 -2.344
2.301 -0.324 5.198
Cu Ni Rh
1 7 2
direct
0.000 0.000 0.000
0.895 0.696 0.603
0.105 0.304 0.397
0.198 0.600 0.802
0.802 0.400 0.198
0.301 0.897 0.195
0.699 0.103 0.805
0.500 0.500 0.000
0.601 0.794 0.400
0.399 0.206 0.600
```

Computed properties:
E_form	0.30	eV per formula unit
SG	P-1

---

Entry 3:
DFT (PBE) results for Pm2TiSn after structural relaxation.

POSCAR file:
```
Pm2TiSn
1.0
4.418 0.000 0.000
0.000 4.924 0.000
0.000 0.000 4.924
Ti Sn Pm
1 1 2
direct
0.500 0.000 0.000
0.500 0.500 0.500
0.000 0.000 0.500
0.000 0.500 0.000
```

Computed properties:
E_form	-0.90	eV per formula unit
SG	P4/mmm

---

Entry 4:
DFT (PBE) results for V2SbOsW after structural relaxation.

POSCAR file:
```
V2SbOsW
1.0
4.605 0.000 0.000
0.000 4.833 0.000
0.000 0.000 4.605
Sb Os W V
1 1 1 2
direct
0.000 0.000 0.000
0.500 0.500 0.500
0.000 0.500 0.000
0.000 0.000 0.500
0.500 0.000 0.000
```

Computed properties:
formation energy (no corrections)	2313	meV/atom
SG	P4/mmm

---

Calculated density list, top to bottom, in g/cm³: 4.68 9.57 7.08 9.68